VASP calculation (GGA-PBE) on a geometry-optimized Ac3PmTl2 structure.

a = 10.2101 Å, b = 10.2101 Å, c = 10.2101 Å
α = 139.22°, β = 59.15°, γ = 139.07°
Last column: nearest neighbours and their distance in Å.
Fractional coordinates of all 12 atoms:
Ac 0.1784 0.7469 0.9253  5 Tl 3.37-3.76
Ac 0.2500 0.2500 0.0000  4 Tl 3.48, 2 Pm 3.56, 2 Ac 3.57
Ac 0.3216 0.2469 0.5685  5 Tl 3.37-3.76
Ac 0.6784 0.7531 0.4315  5 Tl 3.37-3.76
Ac 0.7500 0.7500 0.0000  4 Tl 3.48, 2 Pm 3.56, 2 Ac 3.57
Ac 0.8216 0.2531 0.0747  5 Tl 3.37-3.76
Pm 0.2500 0.7500 0.5000  4 Tl 3.40, 2 Ac 3.56, 2 Pm 3.57
Pm 0.7500 0.2500 0.5000  4 Tl 3.40, 2 Ac 3.56, 2 Pm 3.57
Tl 0.1317 0.2617 0.3934  7 Ac 3.37-3.76, 2 Pm 3.40
Tl 0.3683 0.7617 0.1300  7 Ac 3.37-3.76, 2 Pm 3.40
Tl 0.6317 0.2383 0.8700  7 Ac 3.37-3.76, 2 Pm 3.40
Tl 0.8683 0.7383 0.6066  7 Ac 3.37-3.76, 2 Pm 3.40

Values from the calculation:
- Formation energy: -0.2205 eV/atom
- V: 37.588 A^3/atom
- Final energy: -3.86 eV per atom
- Crystal system: orthorhombic